# RePIrO2

A geometry-optimized RePIrO2 structure (PBE, Alexandria via LeMat-Bulk).

Cell lengths 3.687, 3.687, 5.418 Å; angles 90.00, 90.00, 90.00 degrees
Each line ends with the local moment (μB).
Element x y z (fractional)
P1 0.000 0.000 0.500  0.01
O1 0.500 0.000 0.000  0.03
O2 0.000 0.500 0.000  0.03
Re1 0.000 0.000 0.000  0.00
Ir1 0.500 0.500 0.500  0.84

Calculated values
The excess energy over the best structure of this formula in the dataset is 0 meV per atom. As for the space-group type: P4/mmm, No. 123. The calculation puts the total energy at -37.780 eV per cell. The calculation puts the energy relative to the elements, uncorrected at -229 meV per atom.